[1]
# PmTePdRh

Crystalline PmTePdRh at its relaxed geometry (PBE-GGA, Alexandria).

Values from the calculation:
Electronic total energy   -5.75 eV/atom
M_tot   0.00 μB per formula unit
Fermi-level density of states   0.78 states/eV/cell
Symmetry   F-43m, No. 216
Formation energy from raw total energies   -0.641 eV per atom

```
PmTePdRh
1.0
0.000 3.437 3.437
3.437 0.000 3.437
3.437 3.437 0.000
Pm Te Pd Rh
1 1 1 1
Direct
0.000 0.000 0.000
0.500 0.500 0.500
0.750 0.750 0.750
0.250 0.250 0.250
```

[2]
# PmTiPdRh

Crystalline PmTiPdRh at its relaxed geometry (PBE-GGA, Alexandria).

Values from the calculation:
Electronic total energy   -6.78 eV/atom
Calculated formation energy   -0.480 eV per atom
M_tot   0.00 μB per formula unit
Fermi-level density of states   5.00 states/eV/cell
Symmetry   F-43m, No. 216

```
PmTiPdRh
1.0
0.000 3.358 3.358
3.358 0.000 3.358
3.358 3.358 0.000
Pm Ti Pd Rh
1 1 1 1
Direct
0.000 0.000 0.000
0.500 0.500 0.500
0.250 0.250 0.250
0.750 0.750 0.750
```

[3]
# PmTlPdRh

Crystalline PmTlPdRh at its relaxed geometry (PBE-GGA, Alexandria).

Values from the calculation:
Electronic total energy   -5.42 eV/atom
Calculated formation energy   -0.500 eV per atom
M_tot   0.00 μB per formula unit
Fermi-level density of states   3.29 states/eV/cell
Symmetry   F-43m, No. 216

```
PmTlPdRh
1.0
0.000 3.440 3.440
3.440 0.000 3.440
3.440 3.440 0.000
Pm Tl Pd Rh
1 1 1 1
Direct
0.000 0.000 0.000
0.500 0.500 0.500
0.250 0.250 0.250
0.750 0.750 0.750
```

[4]
# PmTmPdRh

Crystalline PmTmPdRh at its relaxed geometry (PBE-GGA, Alexandria).

Values from the calculation:
Electronic total energy   -6.28 eV/atom
ΔE to the lowest computed polymorph   0 meV/atom
Calculated formation energy   -0.842 eV per atom
M_tot   0.00 μB per formula unit
Fermi-level density of states   2.50 states/eV/cell
Symmetry   Amm2, No. 38

```
PmTmPdRh
1.0
4.470 0.000 0.000
0.000 1.864 5.309
0.000 -1.864 5.309
Pm Tm Pd Rh
1 1 1 1
Direct
0.000 0.000 0.000
0.500 0.721 0.721
0.500 0.440 0.440
0.000 0.266 0.266
```

[5]
# PmTmPdRh

Crystalline PmTmPdRh at its relaxed geometry (PBE-GGA, Alexandria).

Values from the calculation:
Electronic total energy   -6.27 eV/atom
ΔE to the lowest computed polymorph   14 meV/atom
Calculated formation energy   -0.828 eV per atom
M_tot   0.00 μB per formula unit
Fermi-level density of states   2.19 states/eV/cell
Symmetry   F-43m, No. 216

```
PmTmPdRh
1.0
0.000 3.492 3.492
3.492 0.000 3.492
3.492 3.492 0.000
Pm Tm Pd Rh
1 1 1 1
Direct
0.000 0.000 0.000
0.500 0.500 0.500
0.250 0.250 0.250
0.750 0.750 0.750
```

[6]
# Pm2Zn5PdRh2

Crystalline Pm2Zn5PdRh2 at its relaxed geometry (PBE-GGA, Alexandria).

Values from the calculation:
Electronic total energy   -4.03 eV/atom
Calculated formation energy   -0.458 eV per atom
M_tot   0.00 μB per formula unit
Fermi-level density of states   10.82 states/eV/cell
Symmetry   P4/mbm, No. 127

```
Pm2Zn5PdRh2
1.0
9.811 0.000 0.000
0.000 9.811 0.000
0.000 0.000 3.761
Pm Zn Pd Rh
4 10 2 4
Direct
0.179 0.321 0.000
0.321 0.821 0.000
0.679 0.179 0.000
0.821 0.679 0.000
0.000 0.500 0.500
0.054 0.808 0.500
0.192 0.054 0.500
0.308 0.554 0.500
0.446 0.308 0.500
0.500 0.000 0.500
0.554 0.692 0.500
0.692 0.446 0.500
0.808 0.946 0.500
0.946 0.192 0.500
0.000 0.000 0.000
0.500 0.500 0.000
0.124 0.624 0.000
0.376 0.124 0.000
0.624 0.876 0.000
0.876 0.376 0.000
```

[7]
# Pm2Zn5Pd2Rh

Crystalline Pm2Zn5Pd2Rh at its relaxed geometry (PBE-GGA, Alexandria).

Values from the calculation:
Electronic total energy   -3.81 eV/atom
Calculated formation energy   -0.450 eV per atom
M_tot   0.00 μB per formula unit
Fermi-level density of states   10.54 states/eV/cell
Symmetry   P4/mbm, No. 127

```
Pm2Zn5Pd2Rh
1.0
9.822 0.000 0.000
0.000 9.822 0.000
0.000 0.000 3.826
Pm Zn Pd Rh
4 10 4 2
Direct
0.181 0.319 0.000
0.319 0.819 0.000
0.681 0.181 0.000
0.819 0.681 0.000
0.000 0.500 0.500
0.051 0.813 0.500
0.187 0.051 0.500
0.313 0.551 0.500
0.449 0.313 0.500
0.500 0.000 0.500
0.551 0.687 0.500
0.687 0.449 0.500
0.813 0.949 0.500
0.949 0.187 0.500
0.119 0.619 0.000
0.381 0.119 0.000
0.619 0.881 0.000
0.881 0.381 0.000
0.000 0.000 0.000
0.500 0.500 0.000
```

[8]
# PmZrPdRh

Crystalline PmZrPdRh at its relaxed geometry (PBE-GGA, Alexandria).

Values from the calculation:
Electronic total energy   -7.07 eV/atom
Calculated formation energy   -0.607 eV per atom
M_tot   0.00 μB per formula unit
Fermi-level density of states   5.16 states/eV/cell
Symmetry   F-43m, No. 216

```
PmZrPdRh
1.0
0.000 3.437 3.437
3.437 0.000 3.437
3.437 3.437 0.000
Pm Zr Pd Rh
1 1 1 1
Direct
0.000 0.000 0.000
0.500 0.500 0.500
0.750 0.750 0.750
0.250 0.250 0.250
```

[9]
# Pm5Pd4Ru

Crystalline Pm5Pd4Ru at its relaxed geometry (PBE-GGA, Alexandria).

Values from the calculation:
Electronic total energy   -6.05 eV/atom
Calculated formation energy   -0.667 eV per atom
M_tot   0.00 μB per formula unit
Fermi-level density of states   5.69 states/eV/cell
Symmetry   P4/mmm, No. 123

```
Pm5Pd4Ru
1.0
3.533 0.000 0.000
0.000 3.533 0.000
0.000 0.000 18.323
Pm Pd Ru
5 4 1
Direct
0.000 0.000 0.000
0.000 0.000 0.203
0.000 0.000 0.406
0.000 0.000 0.594
0.000 0.000 0.797
0.500 0.500 0.100
0.500 0.500 0.300
0.500 0.500 0.700
0.500 0.500 0.900
0.500 0.500 0.500
```

[10]
# Pm2PdRu

Crystalline Pm2PdRu at its relaxed geometry (PBE-GGA, Alexandria).

Values from the calculation:
Electronic total energy   -6.47 eV/atom
ΔE to the lowest computed polymorph   37 meV/atom
Calculated formation energy   -0.474 eV per atom
M_tot   0.00 μB per formula unit
Fermi-level density of states   3.56 states/eV/cell
Symmetry   Fm-3m, No. 225

```
Pm2PdRu
1.0
0.000 3.541 3.541
3.541 0.000 3.541
3.541 3.541 0.000
Pm Pd Ru
2 1 1
Direct
0.250 0.250 0.250
0.750 0.750 0.750
0.000 0.000 0.000
0.500 0.500 0.500
```

[11]
# Pm2PdRu

Crystalline Pm2PdRu at its relaxed geometry (PBE-GGA, Alexandria).

Values from the calculation:
Electronic total energy   -6.50 eV/atom
ΔE to the lowest computed polymorph   0 meV/atom
Calculated formation energy   -0.512 eV per atom
M_tot   0.00 μB per formula unit
Fermi-level density of states   1.44 states/eV/cell
Symmetry   P4/mmm, No. 123

```
Pm2PdRu
1.0
3.498 0.000 0.000
0.000 3.498 0.000
0.000 0.000 7.280
Pm Pd Ru
2 1 1
Direct
0.000 0.000 0.240
0.000 0.000 0.760
0.500 0.500 0.500
0.500 0.500 0.000
```

[12]
# Pm8PdRu2

Crystalline Pm8PdRu2 at its relaxed geometry (PBE-GGA, Alexandria).

Values from the calculation:
Electronic total energy   -5.81 eV/atom
ΔE to the lowest computed polymorph   36 meV/atom
Calculated formation energy   -0.200 eV per atom
M_tot   0.00 μB per formula unit
Fermi-level density of states   10.99 states/eV/cell
Symmetry   Cm, No. 8

```
Pm8PdRu2
1.0
4.203 -6.451 0.000
4.203 6.451 0.000
-2.105 0.000 5.900
Pm Pd Ru
8 1 2
Direct
0.000 0.000 0.000
0.019 0.284 0.593
0.149 0.581 0.191
0.284 0.019 0.593
0.443 0.707 0.793
0.581 0.149 0.191
0.707 0.443 0.793
0.727 0.727 0.384
0.363 0.363 0.028
0.052 0.671 0.692
0.671 0.052 0.692
```